Computed, not measured: an optimized crystal structure of Sr4Tl5Pb2 at the PBE level of DFT.

a = 10.2901 Å, b = 4.0397 Å, c = 10.2968 Å
α = 90.00°, β = 118.46°, γ = 90.00°
With the nearest neighbours (Å) after each atom.
Space group P2/m (No. 10)
Symmetry-distinct sites (fractional):
Sr 0.2321 0.0000 0.2270  8 Tl 3.49-3.56, 2 Pb 3.53
Sr 0.2497 0.0000 0.7495  6 Tl 3.48-3.86, 2 Pb 3.49
Tl 0.0918 0.5000 0.9128  2 Tl 3.15-3.17, 1 Pb 3.20, 4 Sr 3.49
Tl 0.4378 0.5000 0.1128  2 Tl 3.14-3.15, 4 Sr 3.48-3.51
Tl 0.5000 0.5000 0.5000  4 Sr 3.49, 2 Pb 3.64, 2 Tl 3.72
Pb 0.1201 0.5000 0.4364  1 Tl 3.20, 1 Pb 3.30, 4 Sr 3.49-3.53

Density   7.88 g/cm³
DOS(E_F)   0.500 states/eV per atom
Total magnetic moment   0.00 Bohr magnetons per cell
Raw total energy   -0.19738 Ry per atom

Computed, not measured: an optimized crystal structure of TbEuZn2 at the PBE level of DFT.

a = 3.6645 Å, b = 3.6645 Å, c = 7.3419 Å
α = 90.00°, β = 90.00°, γ = 90.00°
With the nearest neighbours (Å) after each atom.
Space group P4/mmm (No. 123)
Symmetry-distinct sites (fractional):
Tb 0.0000 0.0000 0.0000  8 Zn 3.07
Eu 0.0000 0.0000 0.5000  8 Zn 3.28, 4 Eu 3.66, 2 Tb 3.67
Zn 0.5000 0.5000 0.2253  4 Tb 3.07, 4 Eu 3.28, 1 Zn 3.31

Density   7.44 g/cm³
DOS(E_F)   1.244 states/eV per atom
Total magnetic moment   7.11 Bohr magnetons per cell
Raw total energy   -0.34257 Ry per atom